! PBE with a Hubbard U Ho2CoRhO6, relaxed; values from VASP
&SYSTEM
  ibrav = 0, nat = 20, ntyp = 4
/
ATOMIC_SPECIES
Ho 164.93 Ho.upf
O 16.00 O.upf
Rh 102.91 Rh.upf
Co 58.93 Co.upf
ATOMIC_POSITIONS angstrom
Ho 5.0533 0.4591 5.5904
O 4.1952 4.6058 7.0534
O 1.6012 3.8662 3.3180
O 3.2343 0.2424 1.7925
O 4.2846 4.5071 4.1771
O 1.9537 5.4055 5.6784
Ho 2.4593 2.3648 1.8549
O 1.6906 3.9648 0.4417
O 0.9034 1.1408 3.2938
Rh 0.0000 2.8240 0.0000
Ho 2.7287 3.2831 5.6159
Rh 2.5940 0.0000 3.7354
O 4.5619 3.0664 1.9006
Co 2.6011 0.0000 -0.0212
O 0.9928 1.0422 0.4175
Co -0.0071 2.8240 3.7566
O 3.5867 1.7818 4.1529
Ho 0.1347 5.1888 1.8805
O 3.4973 1.6832 7.0292
O 0.6261 2.5816 5.5703
CELL_PARAMETERS angstrom
5.2022 0.0000 -0.0423
0.0000 5.6479 0.0000
-0.0142 0.0000 7.5132
! Space-group type: P2_1/c, No. 14
! Energy: -7.36 eV/atom